Computed, not measured: a relaxed structure of Ce2ThCd2Hg2 at the PBE-GGA level of DFT.

Final energy (eV for the cell shown): -22.81
Space-group type: C2/m, No. 12
Fermi-level density of states (states/eV/cell): 11.7
Energy of formation from the pure elements (eV/atom): -0.155

Cell: 5.7303 5.7303 7.7245 Å, 98.61 98.61 47.16°
Closest atoms and distances in Å follow each position.
Fractional coordinates of all 7 atoms:
Ce 0.1130 0.1130 0.4345  1 Ce 2.73
Ce 0.8870 0.8870 0.5655  1 Ce 2.73
Th 0.0000 0.0000 0.0000  6 Hg 3.25-3.53, 4 Cd 3.37, 2 Ce 3.37
Cd 0.3908 0.3908 0.2592  3 Hg 3.02-3.26, 2 Ce 3.30, 2 Th 3.37
Cd 0.6092 0.6092 0.7408  3 Hg 3.02-3.26, 2 Ce 3.30, 2 Th 3.37
Hg 0.2952 0.2952 0.8365  3 Cd 3.02-3.26, 2 Th 3.25, 3 Ce 3.35-3.37
Hg 0.7048 0.7048 0.1635  3 Cd 3.02-3.26, 2 Th 3.25, 3 Ce 3.35-3.37

---

Computed, not measured: a relaxed structure of CeTmCd2Hg4 at the PBE-GGA level of DFT.

Final energy (eV for the cell shown): -16.14
Space-group type: R-3m, No. 166
Fermi-level density of states (states/eV/cell): 8.3
Energy of formation from the pure elements (eV/atom): -0.337

Cell: 8.9243 8.9243 8.9243 Å, 33.31 33.31 33.31°
Closest atoms and distances in Å follow each position.
Fractional coordinates of all 8 atoms:
Ce 0.0000 0.0000 0.0000  8 Hg 3.17-3.24
Tm 0.5000 0.5000 0.5000  8 Hg 3.06-3.11
Cd 0.2510 0.2510 0.2510  8 Hg 3.10-3.23
Cd 0.7490 0.7490 0.7490  8 Hg 3.10-3.23
Hg 0.1283 0.1283 0.1283  4 Cd 3.10-3.17, 3 Tm 3.11, 1 Ce 3.24
Hg 0.3790 0.3790 0.3790  1 Tm 3.06, 4 Cd 3.10-3.23, 3 Ce 3.17
Hg 0.6210 0.6210 0.6210  1 Tm 3.06, 4 Cd 3.10-3.23, 3 Ce 3.17
Hg 0.8717 0.8717 0.8717  4 Cd 3.10-3.17, 3 Tm 3.11, 1 Ce 3.24

---

Computed, not measured: a relaxed structure of CeTm2CdHg4 at the PBE-GGA level of DFT.

Final energy (eV for the cell shown): -19.73
Space-group type: R-3m, No. 166
Fermi-level density of states (states/eV/cell): 10.8
Energy of formation from the pure elements (eV/atom): -0.342

Cell: 9.5075 9.5075 9.5075 Å, 30.98 30.98 30.98°
Closest atoms and distances in Å follow each position.
Fractional coordinates of all 8 atoms:
Ce 0.0000 0.0000 0.0000  8 Hg 3.19-3.37
Tm 0.2407 0.2407 0.2407  7 Hg 3.06-3.19
Tm 0.7593 0.7593 0.7593  7 Hg 3.06-3.19
Cd 0.5000 0.5000 0.5000  8 Hg 3.15-3.25
Hg 0.1243 0.1243 0.1243  4 Tm 3.06-3.16, 3 Cd 3.15, 1 Ce 3.37
Hg 0.3800 0.3800 0.3800  3 Tm 3.19, 3 Ce 3.19, 1 Cd 3.25
Hg 0.6200 0.6200 0.6200  3 Tm 3.19, 3 Ce 3.19, 1 Cd 3.25
Hg 0.8757 0.8757 0.8757  4 Tm 3.06-3.16, 3 Cd 3.15, 1 Ce 3.37

---

Computed, not measured: a relaxed structure of CeTmCdHg at the PBE-GGA level of DFT.

Final energy (eV for the cell shown): -12.74
Space-group type: F-43m, No. 216
Fermi-level density of states (states/eV/cell): 10.7
Energy of formation from the pure elements (eV/atom): -0.280

Cell: 5.3236 5.3236 5.3236 Å, 60.00 60.00 60.00°
Closest atoms and distances in Å follow each position.
Fractional coordinates of all 4 atoms:
Ce 0.0000 0.0000 0.0000  4 Hg 3.26, 4 Cd 3.26
Tm 0.5000 0.5000 0.5000  4 Hg 3.26, 4 Cd 3.26
Cd 0.2500 0.2500 0.2500  4 Tm 3.26, 4 Ce 3.26
Hg 0.7500 0.7500 0.7500  4 Tm 3.26, 4 Ce 3.26

---

Computed, not measured: a relaxed structure of CeYCdHg at the PBE-GGA level of DFT.

Final energy (eV for the cell shown): -14.82
Space-group type: F-43m, No. 216
Fermi-level density of states (states/eV/cell): 10.9
Energy of formation from the pure elements (eV/atom): -0.300

Cell: 5.3590 5.3590 5.3590 Å, 60.00 60.00 60.00°
Closest atoms and distances in Å follow each position.
Fractional coordinates of all 4 atoms:
Ce 0.0000 0.0000 0.0000  4 Cd 3.28, 4 Hg 3.28
Y 0.5000 0.5000 0.5000  4 Hg 3.28, 4 Cd 3.28
Cd 0.7500 0.7500 0.7500  4 Ce 3.28, 4 Y 3.28
Hg 0.2500 0.2500 0.2500  4 Ce 3.28, 4 Y 3.28

---

Computed, not measured: a relaxed structure of CeHo5Cd4 at the PBE-GGA level of DFT.

Final energy (eV for the cell shown): -34.77
Space-group type: P4/mmm, No. 123
Fermi-level density of states (states/eV/cell): 12.4
Energy of formation from the pure elements (eV/atom): -0.228

Cell: 3.6714 3.6714 19.7840 Å, 90.00 90.00 90.00°
Closest atoms and distances in Å follow each position.
Fractional coordinates of all 10 atoms:
Ce 0.0000 0.0000 0.0000  8 Ho 3.45, 4 Ce 3.67
Ho 0.5000 0.5000 0.1147  4 Cd 3.22, 4 Ce 3.45
Ho 0.5000 0.5000 0.3087  8 Cd 3.21-3.23
Ho 0.5000 0.5000 0.5000  8 Cd 3.22
Ho 0.5000 0.5000 0.6913  8 Cd 3.21-3.23
Ho 0.5000 0.5000 0.8853  4 Cd 3.22, 4 Ce 3.45
Cd 0.0000 0.0000 0.2112  8 Ho 3.22-3.23
Cd 0.0000 0.0000 0.4039  8 Ho 3.21-3.22
Cd 0.0000 0.0000 0.5961  8 Ho 3.21-3.22
Cd 0.0000 0.0000 0.7888  8 Ho 3.22-3.23

---

Question: Which formula does entry 3 have?
Answer: CeTm2CdHg4

---

Copy entry 5 word for word.
Computed, not measured: a relaxed structure of CeYCdHg at the PBE-GGA level of DFT.

Final energy (eV for the cell shown): -14.82
Space-group type: F-43m, No. 216
Fermi-level density of states (states/eV/cell): 10.9
Energy of formation from the pure elements (eV/atom): -0.300

Cell: 5.3590 5.3590 5.3590 Å, 60.00 60.00 60.00°
Closest atoms and distances in Å follow each position.
Fractional coordinates of all 4 atoms:
Ce 0.0000 0.0000 0.0000  4 Cd 3.28, 4 Hg 3.28
Y 0.5000 0.5000 0.5000  4 Hg 3.28, 4 Cd 3.28
Cd 0.7500 0.7500 0.7500  4 Ce 3.28, 4 Y 3.28
Hg 0.2500 0.2500 0.2500  4 Ce 3.28, 4 Y 3.28